Mg6FeBiO8 GGA+U optimized geometry; polymorph energy (0 for the lowest one) = 0.035 eV per atom; crystal system = tetragonal; spin magnetization = 3.14 μB/f.u.
1.0
-2.298 3.401 1.767
1.680 -0.958 4.028
6.997 5.558 -1.597
Mg O Bi Fe
6 8 1 1
Cartesian
4.275 6.009 -0.354
0.424 2.950 0.525
2.413 0.770 1.655
3.190 4.000 2.100
-0.309 1.221 2.898
6.264 3.829 0.777
5.285 4.198 -1.206
4.339 2.300 1.216
2.349 4.479 0.085
-1.149 1.700 0.884
0.840 -0.479 2.014
1.711 1.360 -0.391
4.950 5.399 1.698
1.429 2.602 2.501
3.498 2.779 -0.798
0.000 0.000 0.000